Entry from Alexandria via LeMat-Bulk: an optimized crystal structure of Ba2HCl2 (PBE).

abc: 5.825 5.825 14.669
angles: 90.00 90.00 90.00
Space group P4/mmm (No. 123)
One atom of each set of equivalent atoms:
Ba  0.000  0.000  0.173 [2 per cell]
H  0.000  0.000  0.000 [1 per cell]
Cl  0.000  0.000  0.357 [2 per cell]

## Properties
energy	-2.87	eV/atom
DOS(E_F)	2.90	states/eV/cell